DFT (PBE-GGA) results for Zr3ScC2S2 after structural relaxation.

```
Zr3ScC2S2
1.0
3.429 0.000 0.000
-1.715 2.970 0.000
0.000 0.000 12.183
Zr S C Sc
3 2 2 1
direct
0.333 0.667 0.400
0.000 0.000 0.602
0.333 0.667 0.100
0.333 0.667 0.750
0.000 0.000 0.250
0.667 0.333 0.000
0.667 0.333 0.501
0.000 0.000 0.898
```

Computed properties:
VASP energy: -8.67 eV per atom
SG: P3m1 (156)